[1]
Computed, not measured: a relaxed structure of BaV2HgOs at the PBE level of DFT.

Properties
- Total energy: -3.681 eV/atom
- Energy of formation from the pure elements: 2.657 eV per atom

Structure (POSCAR):
```
BaV2HgOs
1.0
5.0054 0.0000 0.0000
0.0000 5.0130 0.0000
0.0000 0.0000 5.0054
Hg Os V Ba
1 1 2 1
direct
0.5000 0.5000 0.5000
0.0000 0.5000 0.0000
0.0000 0.0000 0.5000
0.5000 0.0000 0.0000
0.0000 0.0000 0.0000
```



[2]
Computed, not measured: a relaxed structure of K3BaRu at the PBE level of DFT.

Properties
- Total energy: -1.190 eV/atom
- Excess energy over the best structure of this formula in the dataset: 0.718 eV/atom
- Energy of formation from the pure elements: 1.708 eV per atom

Structure (POSCAR):
```
K3BaRu
1.0
-4.7726 -3.9044 4.1787
5.6688 -2.5109 4.1284
-0.7554 5.8253 4.5802
K Ru Ba
3 1 1
direct
0.5000 0.0000 0.0000
0.0000 0.0000 0.5000
0.0000 0.5000 0.0000
0.5000 0.5000 0.5000
0.0000 0.0000 0.0000
```



[3]
Computed, not measured: a relaxed structure of In5Ag6 at the PBE level of DFT.

Properties
- Total energy: -2.764 eV/atom
- Energy of formation from the pure elements: 0.036 eV per atom

Structure (POSCAR):
```
In5Ag6
1.0
5.9345 0.1364 1.0482
1.7486 6.1726 3.6216
0.0501 0.3747 6.8304
In Ag
5 6
direct
0.5000 0.7758 0.4484
0.5000 0.2242 0.5516
0.5000 0.5000 0.0000
0.0000 0.3561 0.2878
0.0000 0.6439 0.7122
0.1856 0.6965 0.2514
0.8144 0.0521 0.2514
0.8144 0.3035 0.7486
0.1856 0.9479 0.7486
0.2638 0.1562 0.0000
0.7362 0.8438 0.0000
```



[4]
Computed, not measured: a relaxed structure of K3CN2 at the PBE level of DFT.

Properties
- Total energy: -5.156 eV/atom
- Raw formation energy: -0.29 eV/atom

Structure (POSCAR):
```
K3CN2
1.0
8.3925 1.4753 4.8672
3.4808 7.7778 4.8672
1.8931 1.4753 9.5153
K C N
6 2 4
direct
0.6216 0.8784 0.2500
0.8784 0.2500 0.6216
0.7500 0.3784 0.1216
0.1216 0.7500 0.3784
0.3784 0.1216 0.7500
0.2500 0.6216 0.8784
0.0000 0.0000 0.0000
0.5000 0.5000 0.5000
0.5480 0.5480 0.5480
0.0480 0.0480 0.0480
0.4520 0.4520 0.4520
0.9520 0.9520 0.9520
```



[5]
Computed, not measured: a relaxed structure of Cs3Ho3CrS8 at the PBE level of DFT.

Properties
- Total energy: -5.442 eV/atom
- Raw formation energy: -1.51 eV/atom

Structure (POSCAR):
```
Cs3Ho3CrS8
1.0
7.8354 0.0000 0.0000
-3.9177 6.7883 -0.0277
0.0000 -4.4943 8.2439
Cs S Ho Cr
3 8 3 1
direct
0.5000 0.5000 0.0000
0.0000 0.5000 0.0000
0.0000 0.0000 0.0000
0.7275 0.4550 0.6826
0.7923 0.0392 0.3315
0.2078 0.4156 0.6685
0.2725 0.5450 0.3174
0.7531 0.9608 0.6685
0.2077 0.9608 0.6685
0.7922 0.5844 0.3315
0.2469 0.0392 0.3315
0.5000 0.0000 0.5000
0.5000 0.5000 0.5000
0.0000 0.5000 0.5000
0.0000 0.0000 0.5000
```



[6]
Computed, not measured: a relaxed structure of CeCl4 at the PBE level of DFT.

Properties
- Total energy: -4.556 eV/atom
- Raw formation energy: -1.89 eV/atom

Structure (POSCAR):
```
CeCl4
1.0
7.6154 0.0000 3.7083
3.6986 6.3825 2.0783
1.0060 -0.5248 7.6079
Cl Ce
8 2
direct
0.2503 0.2714 0.7281
0.1961 0.8026 0.8052
0.7502 0.2714 0.7281
0.7497 0.7286 0.2719
0.3040 0.1967 0.1952
0.6960 0.8033 0.8048
0.8039 0.1974 0.1948
0.2498 0.7286 0.2719
0.2500 0.0000 0.0000
0.7500 0.0000 0.0000
```



Number 1: volume 125.6 Å³/f.u., magnetic moment 5.24 μB per cell. Number 2: volume 413.3 Å³/f.u., magnetic moment 1.00 μB per cell. Number 3: volume 240.9 Å³/f.u., magnetic moment 0.00 μB per cell. Number 4: volume 239.5 Å³/f.u., magnetic moment 0.00 μB per cell. Number 5: volume 437.5 Å³/f.u., magnetic moment 2.00 μB per cell. Number 6: volume 173.5 Å³/f.u., magnetic moment 0.00 μB per cell.